{
  "formula": "HgH6Br2N2",
  "functional": "PBE",
  "state": "optimized geometry",
  "lattice_angstrom": [[2.675, 1.544, 8.569], [-2.675, 1.544, 8.569], [0.000, -3.089, 8.569]],
  "species": ["Hg", "H", "H", "H", "H", "H", "H", "Br", "Br", "N", "N"],
  "fractional_positions": [[0.000, 0.000, 0.000], [0.240, 0.568, 0.568], [0.432, 0.432, 0.760], [0.432, 0.760, 0.432], [0.568, 0.240, 0.568], [0.568, 0.568, 0.240], [0.760, 0.432, 0.432], [0.230, 0.230, 0.230], [0.770, 0.770, 0.770], [0.472, 0.472, 0.472], [0.528, 0.528, 0.528]],
  "crystal_system": "trigonal",
  "e_tot_ev_per_atom": -4.0013,
  "magmom_total_mub_per_atom": 0.00
}